The following is a GGA-PBE calculation of a relaxed HfZr2Au6 crystal, from the Alexandria database.

The magnetization is 0.00 μB per formula unit. As for the volume: 346.9 Å³/cell. The density of states at the Fermi level is 10.65 states/eV/cell. The calculation puts the calculated formation energy at -0.521 eV per atom.

The space group is C2/m (No. 12) and the conventional cell measures 5.060, 15.687 and 5.036 Å, with angles of 90.00, 119.79 and 90.00 degrees. The distinct sites, in fractional coordinates, are Hf at (0.000, 0.000, 0.000), Zr at (0.000, 0.166, 0.500), Au at (0.167, 0.500, 0.333) and Au at (0.170, 0.336, 0.836).

The following is a GGA-PBE calculation of a relaxed LiZnCuAu crystal, from the Alexandria database.

The magnetization is 0.00 μB per formula unit. As for the volume: 115.1 Å³/cell. The density of states at the Fermi level is 2.47 states/eV/cell. The calculation puts the calculated formation energy at -0.280 eV per atom.

The space group is I-4m2 (No. 119) and the conventional cell measures 3.975, 3.975 and 7.285 Å, with angles of 90.00, 90.00 and 90.00 degrees. The distinct sites, in fractional coordinates, are Li at (0.000, 0.000, 0.000), Zn at (0.000, 0.500, 0.750), Cu at (0.000, 0.000, 0.500) and Au at (0.000, 0.500, 0.250).

The following is a GGA-PBE calculation of a relaxed TbZrGa2Ni5 crystal, from the Alexandria database.

The magnetization is 0.00 μB per formula unit. As for the volume: 134.1 Å³/cell. The density of states at the Fermi level is 9.12 states/eV/cell. The calculation puts the calculated formation energy at -0.319 eV per atom.

The space group is P4/mmm (No. 123) and the conventional cell measures 3.908, 3.908 and 8.781 Å, with angles of 90.00, 90.00 and 90.00 degrees. The distinct sites, in fractional coordinates, are Tb at (0.000, 0.000, 0.000), Zr at (0.000, 0.000, 0.500), Ga at (0.500, 0.500, 0.363), Ni at (0.000, 0.500, 0.219) and Ni at (0.500, 0.500, 0.000).

Number 1: raw total energy -5.712 eV per atom. Number 2: raw total energy -2.921 eV per atom. Number 3: raw total energy -5.667 eV per atom.